# 1
DFT (GGA-PBE) results for Zn2Hg2Cl after structural relaxation.

Cell lengths 7.924, 7.924, 3.447 Å; angles 90.00, 90.00, 90.00 degrees
Positions (direct):
1 Zn 0.617 0.117 0.000
2 Hg 0.312 0.188 0.500
3 Cl 0.500 0.500 0.000
4 Zn 0.883 0.617 0.000
5 Cl 0.000 0.000 0.000
6 Hg 0.812 0.312 0.500
7 Zn 0.383 0.883 0.000
8 Hg 0.188 0.688 0.500
9 Zn 0.117 0.383 0.000
10 Hg 0.688 0.812 0.500

ΔE_f (raw) (eV/atom): -0.06
Offset from the most stable computed form (meV per atom): 0
Total energy (eV/atom): -1.06
Crystal system: tetragonal

---

# 2
DFT (GGA-PBE) results for Ac2Re2NiN6 after structural relaxation.

Cell lengths 6.000, 6.000, 6.373 Å; angles 61.92, 61.92, 60.00 degrees
Positions (direct):
1 N 0.763 0.234 0.241
2 N 0.234 0.763 0.241
3 Ac 0.211 0.211 0.367
4 N 0.763 0.763 0.241
5 N 0.766 0.237 0.759
6 N 0.237 0.237 0.759
7 Ni 0.000 0.000 0.000
8 Ac 0.789 0.789 0.633
9 Re 0.581 0.581 0.256
10 N 0.237 0.766 0.759
11 Re 0.419 0.419 0.744

ΔE_f (raw) (eV/atom): -0.28
Total energy (eV/atom): -8.36
Crystal system: trigonal

---

Q: Which formula does entry 2 have?
A: Ac2Re2NiN6

---

Q: The highest ΔE_f (raw) belongs to which entry?
A: Zn2Hg2Cl

---

Q: Which formula does entry 1 have?
A: Zn2Hg2Cl